[1]
Na2Er2B2TeO10, PBEsol geometry, DFT meta-GGA SCAN; uncorrected energy = -538.633 eV per cell; space group = P2_1/c, No. 14; ΔE_f (raw) = -45.78 eV per formula unit
1.0
6.281 0.021 0.000
-1.591 6.484 0.000
0.000 0.000 9.848
Na Er B Te O
4 4 4 2 20
direct
0.584 0.170 0.388 Na
0.416 0.330 0.888 Na
0.416 0.830 0.612 Na
0.584 0.670 0.112 Na
0.126 0.023 0.166 Er
0.874 0.477 0.666 Er
0.874 0.977 0.834 Er
0.126 0.523 0.334 Er
0.338 0.372 0.599 B
0.662 0.128 0.099 B
0.662 0.628 0.401 B
0.338 0.872 0.901 B
0.000 0.000 0.500 Te
0.000 0.500 0.000 Te
0.477 0.051 0.170 O
0.523 0.449 0.670 O
0.523 0.949 0.830 O
0.477 0.551 0.330 O
0.994 0.179 0.348 O
0.006 0.321 0.848 O
0.006 0.821 0.652 O
0.994 0.679 0.152 O
0.293 0.161 0.562 O
0.707 0.339 0.062 O
0.707 0.839 0.438 O
0.293 0.661 0.938 O
0.805 0.010 0.061 O
0.195 0.490 0.561 O
0.195 0.990 0.939 O
0.805 0.510 0.439 O
0.838 0.137 0.619 O
0.162 0.363 0.119 O
0.162 0.863 0.381 O
0.838 0.637 0.881 O


[2]
Er2Ni21B6, PBEsol geometry, DFT meta-GGA SCAN; formation energy = -0.3456 eV per atom; uncorrected energy = -494.920 eV per cell; space group = Fm-3m, No. 225
1.0
-6.897 2.499 -1.201
-5.321 -1.201 5.050
-2.655 5.661 4.021
Er Ni B
2 21 6
direct
0.750 0.750 0.750 Er
0.250 0.250 0.250 Er
0.000 0.000 0.000 Ni
0.613 0.162 0.613 Ni
0.613 0.613 0.162 Ni
0.613 0.613 0.613 Ni
0.162 0.613 0.613 Ni
0.387 0.838 0.387 Ni
0.387 0.387 0.838 Ni
0.387 0.387 0.387 Ni
0.838 0.387 0.387 Ni
0.663 0.337 0.000 Ni
0.000 0.337 0.000 Ni
0.000 0.337 0.663 Ni
0.000 0.000 0.337 Ni
0.663 0.000 0.337 Ni
0.000 0.663 0.337 Ni
0.000 0.000 0.663 Ni
0.000 0.663 0.000 Ni
0.663 0.000 0.000 Ni
0.337 0.663 0.000 Ni
0.337 0.000 0.663 Ni
0.337 0.000 0.000 Ni
0.270 0.270 0.730 B
0.730 0.270 0.730 B
0.730 0.270 0.270 B
0.730 0.730 0.270 B
0.270 0.730 0.270 B
0.270 0.730 0.730 B


Among the records above, which one has the highest uncorrected energy?
Er2Ni21B6


What did the second record say?
Er2Ni21B6, PBEsol geometry, DFT meta-GGA SCAN; formation energy = -0.3456 eV per atom; uncorrected energy = -494.920 eV per cell; space group = Fm-3m, No. 225
1.0
-6.897 2.499 -1.201
-5.321 -1.201 5.050
-2.655 5.661 4.021
Er Ni B
2 21 6
direct
0.750 0.750 0.750 Er
0.250 0.250 0.250 Er
0.000 0.000 0.000 Ni
0.613 0.162 0.613 Ni
0.613 0.613 0.162 Ni
0.613 0.613 0.613 Ni
0.162 0.613 0.613 Ni
0.387 0.838 0.387 Ni
0.387 0.387 0.838 Ni
0.387 0.387 0.387 Ni
0.838 0.387 0.387 Ni
0.663 0.337 0.000 Ni
0.000 0.337 0.000 Ni
0.000 0.337 0.663 Ni
0.000 0.000 0.337 Ni
0.663 0.000 0.337 Ni
0.000 0.663 0.337 Ni
0.000 0.000 0.663 Ni
0.000 0.663 0.000 Ni
0.663 0.000 0.000 Ni
0.337 0.663 0.000 Ni
0.337 0.000 0.663 Ni
0.337 0.000 0.000 Ni
0.270 0.270 0.730 B
0.730 0.270 0.730 B
0.730 0.270 0.270 B
0.730 0.730 0.270 B
0.270 0.730 0.270 B
0.270 0.730 0.730 B


What did the second record say?
Er2Ni21B6, PBEsol geometry, DFT meta-GGA SCAN; formation energy = -0.3456 eV per atom; uncorrected energy = -494.920 eV per cell; space group = Fm-3m, No. 225
1.0
-6.897 2.499 -1.201
-5.321 -1.201 5.050
-2.655 5.661 4.021
Er Ni B
2 21 6
direct
0.750 0.750 0.750 Er
0.250 0.250 0.250 Er
0.000 0.000 0.000 Ni
0.613 0.162 0.613 Ni
0.613 0.613 0.162 Ni
0.613 0.613 0.613 Ni
0.162 0.613 0.613 Ni
0.387 0.838 0.387 Ni
0.387 0.387 0.838 Ni
0.387 0.387 0.387 Ni
0.838 0.387 0.387 Ni
0.663 0.337 0.000 Ni
0.000 0.337 0.000 Ni
0.000 0.337 0.663 Ni
0.000 0.000 0.337 Ni
0.663 0.000 0.337 Ni
0.000 0.663 0.337 Ni
0.000 0.000 0.663 Ni
0.000 0.663 0.000 Ni
0.663 0.000 0.000 Ni
0.337 0.663 0.000 Ni
0.337 0.000 0.663 Ni
0.337 0.000 0.000 Ni
0.270 0.270 0.730 B
0.730 0.270 0.730 B
0.730 0.270 0.270 B
0.730 0.730 0.270 B
0.270 0.730 0.270 B
0.270 0.730 0.730 B


Which formula does entry 2 have?
Er2Ni21B6